Compound: Pt3CBr
Source: Alexandria via LeMat-Bulk
Functional: PBE
Structure: optimized geometry

Summary:
Formation energy without anion corrections: 755 meV per atom
DOS at the Fermi energy: 0.392 states/eV/atom
Total magnetic moment: 0.0 Bohr magnetons per cell
Volume: 78.5 Å³ per cell
Energy above the lowest structure with this stoichiometry: 0.0 meV/atom

abc: 4.282 4.282 4.282
angles: 90.00 90.00 90.00
Element x y z (fractional)
Pt: 0.000 0.000 0.500
Pt: 0.000 0.500 0.000
Pt: 0.500 0.000 0.000
C: 0.000 0.000 0.000
Br: 0.500 0.500 0.500